[1]
CsHg3GeSe4: optimized geometry, GGA-PBE.

Values from the calculation:
Calculated density, g/cm³: 5.4
Space-group type: P-43m (215)
Electronic total energy, Ha/atom: -0.0923

Lattice parameters (Å, degrees): 6.9967 6.9967 6.9967 90.00 90.00 90.00
With the nearest neighbours (Å) after each atom.
Atoms (fractional coordinates):
Cs (0.0000, 0.0000, 0.0000)  4 Se 3.51
Hg (0.0000, 0.5000, 0.5000)  4 Se 2.91
Hg (0.5000, 0.0000, 0.5000)  4 Se 2.91
Hg (0.5000, 0.5000, 0.0000)  4 Se 2.91
Ge (0.5000, 0.5000, 0.5000)  4 Se 2.55
Se (0.2893, 0.2893, 0.2893)  1 Ge 2.55
Se (0.2893, 0.7107, 0.7107)  1 Ge 2.55
Se (0.7107, 0.2893, 0.7107)  1 Ge 2.55
Se (0.7107, 0.7107, 0.2893)  1 Ge 2.55

---

[2]
Tb3In3IrAu2: optimized geometry, GGA-PBE.

Values from the calculation:
Calculated density, g/cm³: 11.5
Space-group type: P-62m (189)
Electronic total energy, Ha/atom: -0.1802

Lattice parameters (Å, degrees): 7.6733 7.6733 3.9949 90.00 90.00 120.00
With the nearest neighbours (Å) after each atom.
Atoms (fractional coordinates):
Tb (0.0000, 0.3981, 0.0000)  1 Ir 3.05, 4 Au 3.08, 6 In 3.34
Tb (0.3981, 0.0000, 0.0000)  1 Ir 3.05, 4 Au 3.08, 6 In 3.34
Tb (0.6019, 0.6019, 0.0000)  1 Ir 3.05, 4 Au 3.08, 6 In 3.34
In (0.0000, 0.7472, 0.5000)  2 Ir 2.78, 2 Au 2.92
In (0.2528, 0.2528, 0.5000)  2 Ir 2.78, 2 Au 2.92
In (0.7472, 0.0000, 0.5000)  2 Ir 2.78, 2 Au 2.92
Ir (0.0000, 0.0000, 0.0000)  6 In 2.78, 3 Tb 3.05
Au (0.3333, 0.6667, 0.5000)  3 In 2.92, 6 Tb 3.08
Au (0.6667, 0.3333, 0.5000)  3 In 2.92, 6 Tb 3.08

---

[3]
Na2Zn5P4O16: optimized geometry, GGA-PBE.

Values from the calculation:
Calculated density, g/cm³: 3.5
Space-group type: Pbcn (60)
Electronic total energy, Ha/atom: -0.2235

Lattice parameters (Å, degrees): 10.2415 8.4761 16.4607 90.00 90.00 90.00
With the nearest neighbours (Å) after each atom.
Atoms (fractional coordinates):
Na (0.1618, 0.2424, 0.2044)  4 O 2.25-2.39
Na (0.1618, 0.7576, 0.7044)  4 O 2.25-2.39
Na (0.3382, 0.2576, 0.7044)  4 O 2.25-2.39
Na (0.3382, 0.7424, 0.2044)  4 O 2.25-2.39
Na (0.6618, 0.2576, 0.7956)  4 O 2.25-2.39
Na (0.6618, 0.7424, 0.2956)  4 O 2.25-2.39
Na (0.8382, 0.2424, 0.2956)  4 O 2.25-2.39
Na (0.8382, 0.7576, 0.7956)  4 O 2.25-2.39
Zn (0.0000, 0.2004, 0.7500)  4 O 1.95-1.97
Zn (0.0000, 0.7996, 0.2500)  4 O 1.95-1.97
Zn (0.1633, 0.3897, 0.4190)  4 O 1.92-2.00
Zn (0.1633, 0.6103, 0.9190)  4 O 1.92-2.00
Zn (0.1680, 0.0820, 0.5551)  4 O 1.92-1.99
Zn (0.1680, 0.9180, 0.0551)  4 O 1.92-1.99
Zn (0.3320, 0.4180, 0.0551)  4 O 1.92-1.99
Zn (0.3320, 0.5820, 0.5551)  4 O 1.92-1.99
Zn (0.3367, 0.1103, 0.9190)  4 O 1.92-2.00
Zn (0.3367, 0.8897, 0.4190)  4 O 1.92-2.00
Zn (0.5000, 0.2996, 0.2500)  4 O 1.95-1.97
Zn (0.5000, 0.7004, 0.7500)  4 O 1.95-1.97
Zn (0.6633, 0.1103, 0.5810)  4 O 1.92-2.00
Zn (0.6633, 0.8897, 0.0810)  4 O 1.92-2.00
Zn (0.6680, 0.4180, 0.4449)  4 O 1.92-1.99
Zn (0.6680, 0.5820, 0.9449)  4 O 1.92-1.99
Zn (0.8320, 0.0820, 0.9449)  4 O 1.92-1.99
Zn (0.8320, 0.9180, 0.4449)  4 O 1.92-1.99
Zn (0.8367, 0.3897, 0.0810)  4 O 1.92-2.00
Zn (0.8367, 0.6103, 0.5810)  4 O 1.92-2.00
P (0.0845, 0.4069, 0.6064)  4 O 1.52-1.59
P (0.0845, 0.5931, 0.1064)  4 O 1.52-1.59
P (0.0914, 0.0544, 0.3650)  4 O 1.53-1.57
P (0.0914, 0.9456, 0.8650)  4 O 1.53-1.57
P (0.4086, 0.4456, 0.8650)  4 O 1.53-1.57
P (0.4086, 0.5544, 0.3650)  4 O 1.53-1.57
P (0.4155, 0.0931, 0.1064)  4 O 1.52-1.59
P (0.4155, 0.9069, 0.6064)  4 O 1.52-1.59
P (0.5845, 0.0931, 0.3936)  4 O 1.52-1.59
P (0.5845, 0.9069, 0.8936)  4 O 1.52-1.59
P (0.5914, 0.4456, 0.6350)  4 O 1.53-1.57
P (0.5914, 0.5544, 0.1350)  4 O 1.53-1.57
P (0.9086, 0.0544, 0.1350)  4 O 1.53-1.57
P (0.9086, 0.9456, 0.6350)  4 O 1.53-1.57
P (0.9155, 0.4069, 0.8936)  4 O 1.52-1.59
P (0.9155, 0.5931, 0.3936)  4 O 1.52-1.59
O (0.0567, 0.0539, 0.1180)  1 P 1.54
O (0.0567, 0.9461, 0.6180)  1 P 1.54
O (0.0636, 0.4242, 0.8945)  1 P 1.52
O (0.0636, 0.5758, 0.3945)  1 P 1.52
O (0.1259, 0.3112, 0.6821)  1 P 1.55
O (0.1259, 0.6888, 0.1821)  1 P 1.55
O (0.1291, 0.2257, 0.3415)  1 P 1.55
O (0.1291, 0.7743, 0.8415)  1 P 1.55
O (0.1317, 0.0544, 0.7950)  1 P 1.53
O (0.1315, 0.3054, 0.5309)  1 P 1.59
O (0.1315, 0.6946, 0.0309)  1 P 1.59
O (0.1317, 0.9456, 0.2950)  1 P 1.53
O (0.1565, 0.4330, 0.1028)  1 P 1.55
O (0.1565, 0.5670, 0.6028)  1 P 1.55
O (0.1672, 0.0033, 0.9426)  1 P 1.57
O (0.1672, 0.9967, 0.4426)  1 P 1.57
O (0.3328, 0.4967, 0.4426)  1 P 1.57
O (0.3328, 0.5033, 0.9426)  1 P 1.57
O (0.3435, 0.0670, 0.6028)  1 P 1.55
O (0.3435, 0.9330, 0.1028)  1 P 1.55
O (0.3685, 0.1946, 0.0309)  1 P 1.59
O (0.3683, 0.4456, 0.2950)  1 P 1.53
O (0.3683, 0.5544, 0.7950)  1 P 1.53
O (0.3685, 0.8054, 0.5309)  1 P 1.59
O (0.3709, 0.2743, 0.8415)  1 P 1.55
O (0.3709, 0.7257, 0.3415)  1 P 1.55
O (0.3741, 0.1888, 0.1821)  1 P 1.55
O (0.3741, 0.8112, 0.6821)  1 P 1.55
O (0.4364, 0.0758, 0.3945)  1 P 1.52
O (0.4364, 0.9242, 0.8945)  1 P 1.52
O (0.4433, 0.4461, 0.6180)  1 P 1.54
O (0.4433, 0.5539, 0.1180)  1 P 1.54
O (0.5567, 0.4461, 0.8820)  1 P 1.54
O (0.5567, 0.5539, 0.3820)  1 P 1.54
O (0.5636, 0.0758, 0.1055)  1 P 1.52
O (0.5636, 0.9242, 0.6055)  1 P 1.52
O (0.6259, 0.1888, 0.3179)  1 P 1.55
O (0.6259, 0.8112, 0.8179)  1 P 1.55
O (0.6291, 0.2743, 0.6585)  1 P 1.55
O (0.6291, 0.7257, 0.1585)  1 P 1.55
O (0.6315, 0.1946, 0.4691)  1 P 1.59
O (0.6317, 0.4456, 0.2050)  1 P 1.53
O (0.6317, 0.5544, 0.7050)  1 P 1.53
O (0.6315, 0.8054, 0.9691)  1 P 1.59
O (0.6565, 0.0670, 0.8972)  1 P 1.55
O (0.6565, 0.9330, 0.3972)  1 P 1.55
O (0.6672, 0.4967, 0.0574)  1 P 1.57
O (0.6672, 0.5033, 0.5574)  1 P 1.57
O (0.8328, 0.0033, 0.5574)  1 P 1.57
O (0.8328, 0.9967, 0.0574)  1 P 1.57
O (0.8435, 0.4330, 0.3972)  1 P 1.55
O (0.8435, 0.5670, 0.8972)  1 P 1.55
O (0.8683, 0.0544, 0.7050)  1 P 1.53
O (0.8685, 0.3054, 0.9691)  1 P 1.59
O (0.8685, 0.6946, 0.4691)  1 P 1.59
O (0.8683, 0.9456, 0.2050)  1 P 1.53
O (0.8709, 0.2257, 0.1585)  1 P 1.55
O (0.8709, 0.7743, 0.6585)  1 P 1.55
O (0.8741, 0.3112, 0.8179)  1 P 1.55
O (0.8741, 0.6888, 0.3179)  1 P 1.55
O (0.9364, 0.4242, 0.6055)  1 P 1.52
O (0.9364, 0.5758, 0.1055)  1 P 1.52
O (0.9433, 0.0539, 0.3820)  1 P 1.54
O (0.9433, 0.9461, 0.8820)  1 P 1.54

---

[4]
Pm2IrO6: optimized geometry, GGA-PBE.

Values from the calculation:
Calculated density, g/cm³: 7.9
Space-group type: P2_1/c (14)
Electronic total energy, Ha/atom: -0.2769

Lattice parameters (Å, degrees): 5.3311 6.1225 8.8006 90.00 122.28 90.00
With the nearest neighbours (Å) after each atom.
Atoms (fractional coordinates):
Pm (0.2159, 0.0950, 0.2533)  7 O 2.34-2.57
Pm (0.2159, 0.4050, 0.7533)  7 O 2.34-2.57
Pm (0.7841, 0.5950, 0.2467)  7 O 2.34-2.57
Pm (0.7841, 0.9050, 0.7467)  7 O 2.34-2.57
Ir (0.5000, 0.0000, 0.0000)  6 O 1.93-1.96
Ir (0.5000, 0.5000, 0.5000)  6 O 1.93-1.96
O (0.1433, 0.1569, 0.9503)  1 Ir 1.96
O (0.1433, 0.3431, 0.4503)  1 Ir 1.96
O (0.2928, 0.7199, 0.9361)  1 Ir 1.95
O (0.2928, 0.7801, 0.4361)  1 Ir 1.95
O (0.3813, 0.0463, 0.7529)  1 Ir 1.93
O (0.3813, 0.4537, 0.2529)  1 Ir 1.93
O (0.6187, 0.5463, 0.7471)  1 Ir 1.93
O (0.6187, 0.9537, 0.2471)  1 Ir 1.93
O (0.7072, 0.2199, 0.5639)  1 Ir 1.95
O (0.7072, 0.2801, 0.0639)  1 Ir 1.95
O (0.8567, 0.6569, 0.5497)  1 Ir 1.96
O (0.8567, 0.8431, 0.0497)  1 Ir 1.96